Entry from Alexandria: a relaxed structure of MnHg4S6 (PBE).

a = 7.3238 Å, b = 7.2743 Å, c = 12.6086 Å
α = 72.86°, β = 73.12°, γ = 59.77°
With the nearest neighbours (Å) after each atom.
Fractional coordinates of all 22 atoms:
S: 0.9705 0.1024 0.9450  1 Mn 2.16
S: 0.5583 0.6521 0.7662  4 Hg 2.56-2.65
S: 0.9708 0.5971 0.9494  1 Mn 2.15
S: 0.9134 0.0212 0.6453  4 Hg 2.56-2.66
S: 0.4363 0.1119 0.9751  1 Mn 2.21
S: 0.4201 0.5212 0.1453  4 Hg 2.56-2.66
S: 0.0234 0.1521 0.2662  4 Hg 2.56-2.65
S: 0.7136 0.8178 0.2146  1 Mn 2.18
S: 0.2541 0.3178 0.7146  1 Mn 2.18
S: 0.4826 0.0971 0.4494  1 Mn 2.15
S: 0.4766 0.6119 0.4751  1 Mn 2.21
S: 0.9821 0.6024 0.4450  1 Mn 2.16
Hg: 0.7827 0.1514 0.1524  4 S 2.58-2.66
Hg: 0.2824 0.7337 0.3071  4 S 2.58-2.77
Hg: 0.7765 0.2242 0.4559  4 S 2.56-2.76
Hg: 0.6768 0.2337 0.8071  4 S 2.58-2.77
Hg: 0.9134 0.6514 0.6524  4 S 2.58-2.66
Hg: 0.5434 0.7242 0.9559  4 S 2.56-2.76
Hg: 0.0880 0.4867 0.1466  4 S 2.56-2.69
Hg: 0.2787 0.9867 0.6466  4 S 2.56-2.69
Mn: 0.6696 0.7876 0.3965  4 S 2.15-2.21
Mn: 0.1464 0.2876 0.8965  4 S 2.15-2.21

total magnetization = 6.0 Bohr magnetons per cell
VASP energy = -3.316 eV/atom
ΔE_f (raw) = -121 meV/atom

Entry from Alexandria: a relaxed structure of MnHgS6 (PBE).

a = 5.6714 Å, b = 5.6994 Å, c = 5.6224 Å
α = 75.55°, β = 108.28°, γ = 104.58°
With the nearest neighbours (Å) after each atom.
Fractional coordinates of all 8 atoms:
S: 0.8532 0.5857 0.9781  1 S 2.06
S: 0.0044 0.8604 0.4195  1 S 2.04
S: 0.1468 0.4143 0.0219  1 S 2.06
S: 0.9956 0.1396 0.5805  1 S 2.04
S: 0.4238 0.9848 0.1473  1 S 2.05
S: 0.5762 0.0152 0.8527  1 S 2.05
Mn: 0.0000 0.0000 0.0000  6 S 2.29-2.32
Hg: 0.5000 0.5000 0.5000  6 S 2.87-3.16

total magnetization = 2.1 Bohr magnetons per cell
VASP energy = -4.349 eV/atom
ΔE_f (raw) = -70 meV/atom

Entry from Alexandria: a relaxed structure of MnHgS (PBE).

a = 2.8717 Å, b = 2.8717 Å, c = 6.0571 Å
α = 90.00°, β = 90.00°, γ = 90.00°
With the nearest neighbours (Å) after each atom.
Fractional coordinates of all 3 atoms:
Mn: 0.0000 0.0000 0.0753  4 S 2.29
S: 0.5000 0.5000 0.9021  4 Mn 2.29
Hg: 0.5000 0.5000 0.4272  4 Hg 2.87, 2 S 2.88-3.18, 4 Mn 2.94

total magnetization = 0.5 Bohr magnetons per cell
offset from the most stable computed form = 0.937 eV per formula unit
VASP energy = -4.537 eV/atom
ΔE_f (raw) = -4 meV/atom

Entry from Alexandria: a relaxed structure of MnHgS (PBE).

a = 3.1080 Å, b = 3.1080 Å, c = 6.1976 Å
α = 90.00°, β = 90.00°, γ = 120.00°
With the nearest neighbours (Å) after each atom.
Fractional coordinates of all 3 atoms:
Mn: 0.6667 0.3333 0.8522  3 S 2.18
S: 0.0000 0.0000 0.0530  3 Mn 2.18
Hg: 0.0000 0.0000 0.4994  1 S 2.77, 3 Mn 2.83

total magnetization = 1.0 Bohr magnetons per cell
offset from the most stable computed form = 0.569 eV per formula unit
VASP energy = -4.660 eV/atom
ΔE_f (raw) = -127 meV/atom

Entry from Alexandria: a relaxed structure of Mn4HgS8 (PBE).

a = 6.6811 Å, b = 6.6811 Å, c = 9.5178 Å
α = 99.39°, β = 100.82°, γ = 120.01°
With the nearest neighbours (Å) after each atom.
Fractional coordinates of all 13 atoms:
Mn: 0.7501 0.2499 0.0001  6 S 2.34
Mn: 0.2497 0.2497 0.0000  6 S 2.34
Mn: 0.7503 0.7503 0.0000  6 S 2.34
Mn: 0.2499 0.7501 0.9999  6 S 2.34
S: 0.6591 0.4891 0.1482  3 Mn 2.34
S: 0.8403 0.5104 0.8514  3 Mn 2.34
S: 0.1597 0.4896 0.1486  3 Mn 2.34
S: 0.3410 0.0110 0.8514  3 Mn 2.34
S: 0.1597 0.9892 0.1489  3 Mn 2.34
S: 0.3409 0.5109 0.8518  3 Mn 2.34
S: 0.8403 0.0108 0.8511  3 Mn 2.34
S: 0.6590 0.9890 0.1486  3 Mn 2.34
Hg: 0.0000 0.5000 0.5000  6 S 3.65-3.70

total magnetization = 11.8 Bohr magnetons per cell
VASP energy = -5.876 eV/atom
ΔE_f (raw) = -492 meV/atom

Entry from Alexandria: a relaxed structure of ScMnHgS2 (PBE).

a = 4.8398 Å, b = 5.8671 Å, c = 4.8398 Å
α = 90.00°, β = 90.00°, γ = 90.00°
With the nearest neighbours (Å) after each atom.
Fractional coordinates of all 5 atoms:
S: 0.5000 0.0000 0.0000  2 Sc 2.42
S: 0.0000 0.0000 0.5000  2 Sc 2.42
Hg: 0.5000 0.5000 0.5000  4 Mn 3.42, 8 S 3.80
Mn: 0.0000 0.5000 0.0000  2 Sc 2.93
Sc: 0.0000 0.0000 0.0000  4 S 2.42

total magnetization = 5.0 Bohr magnetons per cell
VASP energy = -4.820 eV/atom
ΔE_f (raw) = -8 meV/atom

Entry from Alexandria: a relaxed structure of MnHgSeS (PBE).

a = 3.4072 Å, b = 3.4072 Å, c = 9.6152 Å
α = 79.79°, β = 79.79°, γ = 60.00°
With the nearest neighbours (Å) after each atom.
Fractional coordinates of all 4 atoms:
Mn: 0.6265 0.6265 0.1204  3 S 2.34, 3 Se 2.47
Se: 0.9067 0.9067 0.2798  3 Mn 2.47
Hg: 0.4556 0.4556 0.6331  1 S 3.33, 6 Hg 3.41
S: 0.3379 0.3379 0.9864  3 Mn 2.34

total magnetization = 2.9 Bohr magnetons per cell
VASP energy = -4.648 eV/atom
ΔE_f (raw) = -377 meV/atom

Entry from Alexandria: a relaxed structure of MnSi2HgS (PBE).

a = 4.8194 Å, b = 4.3427 Å, c = 4.8194 Å
α = 90.00°, β = 90.00°, γ = 90.00°
With the nearest neighbours (Å) after each atom.
Fractional coordinates of all 5 atoms:
Si: 0.5000 0.0000 0.0000  2 S 2.41
Si: 0.0000 0.0000 0.5000  2 S 2.41
S: 0.0000 0.0000 0.0000  2 Mn 2.17, 4 Si 2.41
Mn: 0.0000 0.5000 0.0000  2 S 2.17
Hg: 0.5000 0.5000 0.5000  8 Si 3.24, 4 Mn 3.41

total magnetization = 3.4 Bohr magnetons per cell
VASP energy = -4.235 eV/atom
ΔE_f (raw) = 654 meV/atom

Entry from Alexandria: a relaxed structure of Ta2MnHgS (PBE).

a = 4.4985 Å, b = 4.8693 Å, c = 4.4985 Å
α = 90.00°, β = 90.00°, γ = 90.00°
With the nearest neighbours (Å) after each atom.
Fractional coordinates of all 5 atoms:
S: 0.0000 0.0000 0.0000  4 Ta 2.25, 2 Hg 2.43
Ta: 0.0000 0.0000 0.5000  2 S 2.25
Ta: 0.5000 0.0000 0.0000  2 S 2.25
Mn: 0.5000 0.5000 0.5000  4 Hg 3.18, 8 Ta 3.31
Hg: 0.0000 0.5000 0.0000  2 S 2.43

total magnetization = 0.3 Bohr magnetons per cell
VASP energy = -6.322 eV/atom
ΔE_f (raw) = 1139 meV/atom

Entry from Alexandria: a relaxed structure of Ta2MnHg2S6 (PBE).

a = 5.7653 Å, b = 5.7653 Å, c = 9.6872 Å
α = 96.46°, β = 96.46°, γ = 119.97°
With the nearest neighbours (Å) after each atom.
Fractional coordinates of all 11 atoms:
Hg: 0.1704 0.8296 0.0000  3 Hg 3.29-3.40
Hg: 0.8296 0.1704 0.0000  3 Hg 3.29-3.40
Mn: 0.0000 0.0000 0.5000  6 S 2.36
S: 0.3787 0.0591 0.6571  1 Mn 2.36, 2 Ta 2.46
S: 0.2595 0.2595 0.3433  1 Mn 2.36, 2 Ta 2.46
S: 0.0591 0.3787 0.6571  1 Mn 2.36, 2 Ta 2.46
S: 0.9409 0.6213 0.3429  1 Mn 2.36, 2 Ta 2.46
S: 0.7405 0.7405 0.6567  1 Mn 2.36, 2 Ta 2.46
S: 0.6213 0.9409 0.3429  1 Mn 2.36, 2 Ta 2.46
Ta: 0.3334 0.6666 0.5000  6 S 2.46
Ta: 0.6666 0.3334 0.5000  6 S 2.46

total magnetization = 0.9 Bohr magnetons per cell
VASP energy = -5.984 eV/atom
ΔE_f (raw) = -689 meV/atom

Entry from Alexandria: a relaxed structure of Ti2MnHg2S6 (PBE).

a = 5.7830 Å, b = 5.7830 Å, c = 9.4571 Å
α = 96.10°, β = 96.10°, γ = 119.99°
With the nearest neighbours (Å) after each atom.
Fractional coordinates of all 11 atoms:
S: 0.6228 0.9465 0.3458  1 Mn 2.35, 2 Ti 2.42
S: 0.9465 0.6228 0.3458  1 Mn 2.35, 2 Ti 2.42
S: 0.2697 0.2697 0.3460  1 Mn 2.35, 2 Ti 2.42
S: 0.0535 0.3772 0.6542  1 Mn 2.35, 2 Ti 2.42
S: 0.3772 0.0535 0.6542  1 Mn 2.35, 2 Ti 2.42
S: 0.7303 0.7303 0.6540  1 Mn 2.35, 2 Ti 2.42
Ti: 0.6667 0.3333 0.5000  6 S 2.42
Ti: 0.3333 0.6667 0.5000  6 S 2.42
Hg: 0.1705 0.8295 0.0000  3 Hg 3.30-3.42
Hg: 0.8295 0.1705 0.0000  3 Hg 3.30-3.42
Mn: 0.0000 0.0000 0.5000  6 S 2.35

total magnetization = 2.7 Bohr magnetons per cell
VASP energy = -5.407 eV/atom
ΔE_f (raw) = -832 meV/atom

Entry from Alexandria: a relaxed structure of UMnHg2S6 (PBE).

a = 6.5889 Å, b = 6.5884 Å, c = 7.0921 Å
α = 90.00°, β = 117.68°, γ = 120.01°
With the nearest neighbours (Å) after each atom.
Fractional coordinates of all 10 atoms:
S: 0.1138 0.2524 0.7230  1 Mn 2.49, 1 Hg 2.51, 1 U 2.60
S: 0.1164 0.3723 0.2375  1 Mn 2.49, 1 Hg 2.51, 1 U 2.60
S: 0.4847 0.8604 0.7231  1 Mn 2.49, 1 Hg 2.51, 1 U 2.60
S: 0.8767 0.6232 0.7230  1 Mn 2.49, 1 Hg 2.51, 1 U 2.60
S: 0.5085 0.1351 0.2374  1 Mn 2.49, 1 Hg 2.51, 1 U 2.60
S: 0.8793 0.7431 0.2376  1 Mn 2.49, 1 Hg 2.51, 1 U 2.60
U: 0.9966 0.9978 0.9803  6 S 2.60
Hg: 0.4924 0.2457 0.7242  3 S 2.51
Hg: 0.5005 0.7497 0.2361  3 S 2.51
Mn: 0.9967 0.4978 0.4803  6 S 2.49

total magnetization = 5.0 Bohr magnetons per cell
VASP energy = -5.104 eV/atom
ΔE_f (raw) = -522 meV/atom

Q: Which value of total magnetization does entry 5 give?
A: 11.8 Bohr magnetons per cell